Record 1
Computed, not measured: SrLaY2 after structural relaxation at the GGA-PBE level of DFT.

- energy relative to the lowest polymorph listed for this composition (meV per atom) = 80
- total magnetic moment (μB per cell) = 0.00
- final energy (eV per cell) = -18.790
- DOS at the Fermi energy (states/eV/cell) = 7.866
- symmetry = I-4m2, No. 119

Cell lengths 6.4667, 6.4667, 6.4667 Å; angles 131.38, 131.38, 71.22 degrees
Closest atoms and distances in Å follow each position.
Element x y z (fractional)
La 0.5000 0.5000 0.0000  8 Y 3.74-3.77, 4 Sr 3.74
Sr 0.7500 0.2500 0.5000  8 Y 3.74-3.77, 4 La 3.74
Y 0.0000 0.0000 0.0000  4 Sr 3.74, 4 Y 3.74, 4 La 3.77
Y 0.2500 0.7500 0.5000  4 La 3.74, 4 Y 3.74, 4 Sr 3.77

Record 2
Computed, not measured: SrLa2Y after structural relaxation at the GGA-PBE level of DFT.

- energy relative to the lowest polymorph listed for this composition (meV per atom) = 89
- total magnetic moment (μB per cell) = 0.00
- final energy (eV per cell) = -17.339
- DOS at the Fermi energy (states/eV/cell) = 8.415
- symmetry = Cmm2, No. 35

Cell lengths 3.6950, 3.6950, 12.6341 Å; angles 90.00, 90.00, 115.47 degrees
Closest atoms and distances in Å follow each position.
Element x y z (fractional)
Y 0.5000 0.5000 0.7627  2 La 3.53, 6 Y 3.69-3.94, 2 Sr 3.78
La 0.0000 0.0000 0.9949  2 Y 3.53, 8 La 3.62-3.94
La 0.5000 0.5000 0.2350  8 La 3.62-3.94, 2 Sr 3.97
Sr 0.0000 0.0000 0.5074  6 Sr 3.69-3.94, 2 Y 3.78, 2 La 3.97

Record 3
Computed, not measured: SrLaY2 after structural relaxation at the GGA-PBE level of DFT.

- energy relative to the lowest polymorph listed for this composition (meV per atom) = 85
- total magnetic moment (μB per cell) = 0.02
- final energy (eV per cell) = -18.770
- DOS at the Fermi energy (states/eV/cell) = 7.136
- symmetry = Imm2, No. 44

Cell lengths 7.1874, 7.1874, 7.1874 Å; angles 147.78, 129.48, 61.20 degrees
Closest atoms and distances in Å follow each position.
Element x y z (fractional)
La 0.4828 0.4828 0.0000  6 Y 3.58-3.68, 2 Sr 3.97, 2 La 3.99
Y 0.0153 0.0153 0.0000  2 Y 3.44, 4 La 3.68, 2 Sr 3.74
Y 0.2422 0.7422 0.5000  2 Y 3.44, 2 La 3.58, 4 Sr 3.67
Sr 0.7598 0.2598 0.5000  6 Y 3.67-3.74, 2 La 3.97, 2 Sr 3.99